Record 1
First-principles (SCAN) data for TeRhAu at its PBEsol-relaxed geometry, as listed in Alexandria via LeMat-Bulk.

Calculated values
- ΔE to the lowest computed polymorph (meV per atom) = 0
- energy relative to the elements, uncorrected (eV/atom) = -0.035
- crystal system = tetragonal

Cell and atoms, written as CIF:
```
data_TeRhAu
_chemical_formula_sum 'Te2 Rh2 Au2'
_space_group_name_H-M_alt 'I 4 m m'
_space_group_IT_number 107
_space_group_name_Hall 'I 4 -2'
_cell_length_a 3.477
_cell_length_b 3.477
_cell_length_c 9.031
_cell_angle_alpha 90.00
_cell_angle_beta 90.00
_cell_angle_gamma 90.00
loop_
_atom_site_label
_atom_site_type_symbol
_atom_site_fract_x
_atom_site_fract_y
_atom_site_fract_z
Te1 Te 0.000 0.000 0.000
Rh1 Rh 0.000 0.000 0.618
Au1 Au 0.000 0.000 0.301
```

Record 2
First-principles (SCAN) data for La2CdPt2 at its PBEsol-relaxed geometry, as listed in Alexandria via LeMat-Bulk.

Calculated values
- crystal system = tetragonal
- formation enthalpy at 0 K (kJ/mol of formula units) = -379

Cell and atoms, written as CIF:
```
data_La2CdPt2
_chemical_formula_sum 'La4 Cd2 Pt4'
_space_group_name_H-M_alt 'I 4/m m m'
_space_group_IT_number 139
_space_group_name_Hall '-I 4 2'
_cell_length_a 3.941
_cell_length_b 3.941
_cell_length_c 16.495
_cell_angle_alpha 90.00
_cell_angle_beta 90.00
_cell_angle_gamma 90.00
loop_
_atom_site_label
_atom_site_type_symbol
_atom_site_fract_x
_atom_site_fract_y
_atom_site_fract_z
La1 La 0.000 0.000 0.120
Cd1 Cd 0.000 0.000 0.500
Pt1 Pt 0.000 0.500 0.250
```

Record 3
First-principles (SCAN) data for NaLi3Ir at its PBEsol-relaxed geometry, as listed in Alexandria via LeMat-Bulk.

Calculated values
- crystal system = cubic
- formation enthalpy at 0 K (kJ/mol of formula units) = 120

Cell and atoms, written as CIF:
```
data_NaLi3Ir
_chemical_formula_sum 'Na1 Li3 Ir1'
_space_group_name_H-M_alt 'P m -3 m'
_space_group_IT_number 221
_space_group_name_Hall '-P 4 2 3'
_cell_length_a 4.736
_cell_length_b 4.736
_cell_length_c 4.736
_cell_angle_alpha 90.00
_cell_angle_beta 90.00
_cell_angle_gamma 90.00
loop_
_atom_site_label
_atom_site_type_symbol
_atom_site_fract_x
_atom_site_fract_y
_atom_site_fract_z
Na1 Na 0.000 0.000 0.000
Li1 Li 0.000 0.500 0.500
Ir1 Ir 0.500 0.500 0.500
```

Record 4
First-principles (SCAN) data for ScReAu2 at its PBEsol-relaxed geometry, as listed in Alexandria via LeMat-Bulk.

Calculated values
- ΔE to the lowest computed polymorph (meV per atom) = 271
- crystal system = cubic
- formation enthalpy at 0 K (kJ/mol of formula units) = 61

Cell and atoms, written as CIF:
```
data_ScReAu2
_chemical_formula_sum 'Sc4 Re4 Au8'
_space_group_name_H-M_alt 'F -4 3 m'
_space_group_IT_number 216
_space_group_name_Hall 'F -4 2 3'
_cell_length_a 6.461
_cell_length_b 6.461
_cell_length_c 6.461
_cell_angle_alpha 90.00
_cell_angle_beta 90.00
_cell_angle_gamma 90.00
loop_
_atom_site_label
_atom_site_type_symbol
_atom_site_fract_x
_atom_site_fract_y
_atom_site_fract_z
Sc1 Sc 0.000 0.000 0.000
Re1 Re 0.250 0.250 0.750
Au1 Au 0.000 0.000 0.500
Au2 Au 0.250 0.250 0.250
```

The records above yield energy values of -46.76 -52.19 -16.25 -55.75 eV/atom, respectively.
The records above yield Fermi-level density of states values of 2.01 7.14 1.80 17.44 states/eV per cell, respectively.